[1]
LaZnC2, relaxed, DFT PBE-GGA; space group = I-42d (122); ΔE_f = 3.13 eV/f.u.; total DFT energy (no corrections) = -5.38 eV/atom
1.0
-2.188 2.188 6.540
2.188 -2.188 6.540
2.188 2.188 -6.540
La Zn C
2 2 4
Direct
0.000 0.000 0.000 La
0.750 0.250 0.500 La
0.250 0.750 0.500 Zn
0.500 0.500 0.000 Zn
0.281 0.625 0.156 C
0.375 0.531 0.656 C
0.469 0.125 0.844 C
0.875 0.719 0.344 C

[2]
LaZnC3, relaxed, DFT PBE-GGA; polymorph energy (0 for the lowest one) = 0.000 eV/f.u.; space group = Pm-3m (221); ΔE_f = 8.07 eV/f.u.; total DFT energy (no corrections) = -5.16 eV/atom
1.0
4.074 0.000 0.000
0.000 4.074 0.000
0.000 0.000 4.074
La Zn C
1 1 3
Direct
0.000 0.000 0.000 La
0.500 0.500 0.500 Zn
0.000 0.500 0.500 C
0.500 0.000 0.500 C
0.500 0.500 0.000 C

[3]
La2ZnC, relaxed, DFT PBE-GGA; polymorph energy (0 for the lowest one) = 0.000 eV/f.u.; space group = R-3m (166); ΔE_f = -0.25 eV/f.u.; total DFT energy (no corrections) = -5.15 eV/atom
1.0
1.902 1.098 7.962
-1.902 1.098 7.962
0.000 -2.196 7.962
La Zn C
2 1 1
Direct
0.228 0.228 0.228 La
0.772 0.772 0.772 La
0.000 0.000 0.000 Zn
0.500 0.500 0.500 C